Density functional theory data (PBE) for a relaxed structure of Mn2BPdN.

Cell lengths 4.9266, 3.6581, 4.9266 Å; angles 90.00, 90.00, 90.00 degrees
Fractional coordinates of all 5 atoms:
B 0.5000 0.5000 0.5000
Mn 0.0000 0.0000 0.5000
Mn 0.5000 0.0000 0.0000
Pd 0.0000 0.0000 0.0000
N 0.0000 0.5000 0.0000

Results
The uncorrected formation energy comes out at 1683.3 meV/atom. As for the space group: P4/mmm.